Entry from Alexandria via LeMat-Bulk: crystalline Li3VH16O12 at its relaxed geometry (GGA+U).

Geometry as POSCAR:
```
Li3VH16O12
1.0
5.9838 0.0000 0.0000
0.0973 6.5274 0.0000
0.0654 0.0906 7.3548
Li V H O
3 1 16 12
Cartesian
0.0000 0.0000 0.0000
0.6504 4.0859 3.5385
3.0494 0.8360 5.6488
3.5719 3.2581 1.9671
0.0589 1.9184 1.7941
0.0879 4.1577 0.9181
0.3395 3.8437 6.1261
0.2980 0.0633 2.8725
0.7172 0.2910 4.9702
0.7560 1.7453 5.6182
1.5336 1.2950 1.6360
1.5680 4.4254 0.3391
3.1153 3.2729 4.7600
3.1470 5.5490 3.6770
3.3336 3.3209 6.3823
3.2885 0.5296 3.1347
3.6514 0.5896 0.6470
3.7339 5.6005 0.1134
5.1444 3.1020 5.3573
5.1759 6.1393 3.7971
0.1467 3.2934 5.3066
0.1842 6.0210 3.6762
0.5502 1.0683 1.5665
0.5882 4.6290 0.1828
1.0444 0.7960 5.7816
2.6656 3.9757 3.2825
3.1507 4.0648 0.4711
3.1309 1.5677 1.8442
3.5351 6.4457 3.9250
3.5045 2.7800 5.5473
4.0262 0.0905 7.2376
5.2999 3.3685 2.2005
```

- energy above the most stable polymorph in this dataset (eV per atom) = 0.000
- space group = P1, No. 1
- E_tot (eV per formula unit) = -169.13
- crystal system = triclinic